# AlCo2Mo (PBE, relaxed)
data_AlCo2Mo
_chemical_formula_sum 'Al2 Co4 Mo2'
_cell_length_a 2.915
_cell_length_b 4.152
_cell_length_c 8.427
_cell_angle_alpha 90.00
_cell_angle_beta 90.00
_cell_angle_gamma 90.00
_symmetry_space_group_name_H-M 'I m m 2'
_symmetry_Int_Tables_number 44
loop_
_symmetry_equiv_pos_as_xyz
'x,y,z'
'-x,-y,z'
'-x,y,z'
'x,-y,z'
'x+1/2,y+1/2,z+1/2'
'-x+1/2,-y+1/2,z+1/2'
'-x+1/2,y+1/2,z+1/2'
'x+1/2,-y+1/2,z+1/2'
loop_
_atom_site_label
_atom_site_fract_x
_atom_site_fract_y
_atom_site_fract_z
_atom_site_occupancy
Al1 0.000 0.000 0.000 1
Co1 0.000 0.000 0.512 1
Co2 0.000 0.500 0.264 1
Mo1 0.000 0.500 0.765 1
# Fermi-level density of states: 0.9200 states/eV per atom
# raw total energy: -7.286 eV per atom
# magnetic moment: 1.2 μB/f.u.